Version A
VASP calculation (PBE-GGA) on a relaxed PmY7Er2 crystal.

```
PmY7Er2
1.0
3.0862 -14.8609 0.0000
3.0862 14.8609 0.0000
-0.0535 0.0000 3.5211
Pm Y Er
1 7 2
Direct
0.0000 0.0000 0.0000
0.1546 0.3567 0.2257
0.2916 0.7084 0.0000
0.3567 0.1546 0.2257
0.5000 0.5000 0.5000
0.6433 0.8454 0.7743
0.7084 0.2916 0.0000
0.8454 0.6433 0.7743
0.1916 0.8084 0.5000
0.8084 0.1916 0.5000
```

Values from the calculation:
As for the crystal system: monoclinic. The symmetry is No. 12.

Version B
VASP calculation (PBE-GGA) on a relaxed PmY7Er2 crystal.

```
PmY7Er2
1.0
4.4206 -7.9253 0.0000
4.4206 7.9253 0.0000
0.0000 0.0000 5.6721
Pm Y Er
1 7 2
Direct
0.0000 0.0000 0.0000
0.0604 0.2950 0.5000
0.2244 0.7756 0.0000
0.2950 0.0604 0.5000
0.5000 0.5000 0.5000
0.7050 0.9396 0.5000
0.7756 0.2244 0.0000
0.9396 0.7050 0.5000
0.2967 0.7033 0.5000
0.7033 0.2967 0.5000
```

Values from the calculation:
As for the crystal system: orthorhombic. The symmetry is No. 65.

Q: What are the energies relative to the best structure? A: version A 0.0; version B 55.8, in kJ/mol of atoms.